Record 1
The following is a DFT calculation (PBEsol) of crystalline La6TaGa11O28 at its relaxed geometry.

a = 9.666 Å, b = 9.666 Å, c = 10.244 Å
α = 121.96°, β = 121.96°, γ = 50.13°
Positions (direct):
La (0.000, 0.000, 0.000)
La (0.417, 0.155, 0.286)
La (0.420, 0.157, 0.789)
La (0.843, 0.580, 0.211)
La (0.845, 0.583, 0.714)
La (0.985, 0.015, 0.500)
Ta (0.417, 0.583, 0.500)
Ga (0.085, 0.243, 0.899)
Ga (0.086, 0.252, 0.403)
Ga (0.179, 0.587, 0.640)
Ga (0.183, 0.574, 0.121)
Ga (0.413, 0.821, 0.360)
Ga (0.420, 0.580, 0.000)
Ga (0.426, 0.817, 0.879)
Ga (0.651, 0.340, 0.755)
Ga (0.660, 0.349, 0.245)
Ga (0.748, 0.914, 0.597)
Ga (0.757, 0.915, 0.101)
O (0.082, 0.250, 0.576)
O (0.089, 0.247, 0.079)
O (0.107, 0.431, 0.916)
O (0.110, 0.440, 0.428)
O (0.194, 0.724, 0.574)
O (0.204, 0.729, 0.091)
O (0.271, 0.041, 0.304)
O (0.271, 0.796, 0.909)
O (0.276, 0.806, 0.426)
O (0.277, 0.033, 0.808)
O (0.336, 0.442, 0.274)
O (0.356, 0.431, 0.768)
O (0.484, 0.365, 0.048)
O (0.501, 0.359, 0.545)
O (0.558, 0.664, 0.726)
O (0.560, 0.890, 0.572)
O (0.569, 0.644, 0.232)
O (0.569, 0.893, 0.084)
O (0.635, 0.516, 0.952)
O (0.641, 0.499, 0.455)
O (0.727, 0.121, 0.779)
O (0.733, 0.130, 0.275)
O (0.750, 0.918, 0.424)
O (0.753, 0.911, 0.921)
O (0.870, 0.267, 0.725)
O (0.879, 0.273, 0.221)
O (0.959, 0.729, 0.696)
O (0.967, 0.723, 0.192)

## Properties
N(E_F) in states/eV/atom: 0.00
Space-group type: No. 5
Total energy in eV per cell: -344.91
Formation energy without anion corrections in eV per formula unit: -116.56


Record 2
The following is a DFT calculation (PBEsol) of crystalline La3TiGa5O14 at its relaxed geometry.

a = 8.199 Å, b = 8.199 Å, c = 5.087 Å
α = 90.00°, β = 90.00°, γ = 120.00°
Positions (direct):
La (0.000, 0.423, 0.000)
La (0.423, 0.000, 0.000)
La (0.577, 0.577, 0.000)
Ti (0.000, 0.000, 0.000)
Ga (0.000, 0.761, 0.500)
Ga (0.239, 0.239, 0.500)
Ga (0.333, 0.667, 0.469)
Ga (0.667, 0.333, 0.531)
Ga (0.761, 0.000, 0.500)
O (0.074, 0.217, 0.764)
O (0.143, 0.926, 0.764)
O (0.146, 0.691, 0.300)
O (0.217, 0.074, 0.236)
O (0.309, 0.455, 0.300)
O (0.333, 0.667, 0.823)
O (0.455, 0.309, 0.700)
O (0.545, 0.854, 0.300)
O (0.667, 0.333, 0.177)
O (0.691, 0.146, 0.700)
O (0.783, 0.857, 0.764)
O (0.854, 0.545, 0.700)
O (0.857, 0.783, 0.236)
O (0.926, 0.143, 0.236)

## Properties
N(E_F) in states/eV/atom: 0.00
Space-group type: No. 150
Total energy in eV per cell: -174.77
Formation energy without anion corrections in eV per formula unit: -60.22


Record 3
The following is a DFT calculation (PBEsol) of crystalline LaGa4Os at its relaxed geometry.

a = 7.672 Å, b = 4.150 Å, c = 7.030 Å
α = 90.00°, β = 90.00°, γ = 90.00°
Positions (direct):
La (0.250, 0.000, 0.132)
La (0.750, 0.000, 0.868)
Ga (0.000, 0.000, 0.500)
Ga (0.067, 0.500, 0.817)
Ga (0.250, 0.500, 0.461)
Ga (0.433, 0.500, 0.817)
Ga (0.500, 0.000, 0.500)
Ga (0.567, 0.500, 0.183)
Ga (0.750, 0.500, 0.539)
Ga (0.933, 0.500, 0.183)
Os (0.250, 0.000, 0.702)
Os (0.750, 0.000, 0.298)

## Properties
N(E_F) in states/eV/atom: 0.46
DFT formation energy in eV per formula unit: -2.8
Space-group type: No. 51
Total energy in eV per cell: -67.53


Record 4
The following is a DFT calculation (PBEsol) of crystalline LaGa2P2 at its relaxed geometry.

a = 4.742 Å, b = 4.742 Å, c = 8.598 Å
α = 90.00°, β = 90.00°, γ = 90.00°
Positions (direct):
La (0.000, 0.000, 0.000)
La (0.500, 0.500, 0.500)
Ga (0.000, 0.000, 0.354)
Ga (0.000, 0.000, 0.646)
Ga (0.500, 0.500, 0.146)
Ga (0.500, 0.500, 0.854)
P (0.000, 0.500, 0.250)
P (0.000, 0.500, 0.750)
P (0.500, 0.000, 0.250)
P (0.500, 0.000, 0.750)

## Properties
N(E_F) in states/eV/atom: 0.25
DFT formation energy in eV per formula unit: -3.0
Space-group type: No. 139
Total energy in eV per cell: -53.24


Record 5
The following is a DFT calculation (PBEsol) of crystalline La2GaP2 at its relaxed geometry.

a = 7.680 Å, b = 7.680 Å, c = 3.915 Å
α = 90.00°, β = 90.00°, γ = 90.00°
Positions (direct):
La (0.153, 0.347, 0.000)
La (0.347, 0.847, 0.000)
La (0.653, 0.153, 0.000)
La (0.847, 0.653, 0.000)
Ga (0.000, 0.000, 0.500)
Ga (0.500, 0.500, 0.500)
P (0.155, 0.655, 0.500)
P (0.345, 0.155, 0.500)
P (0.655, 0.845, 0.500)
P (0.845, 0.345, 0.500)

## Properties
N(E_F) in states/eV/atom: 0.32
DFT formation energy in eV per formula unit: -5.4
Space-group type: No. 127
Total energy in eV per cell: -62.12


Record 6
The following is a DFT calculation (PBEsol) of crystalline LaGaPS2 at its relaxed geometry.

a = 5.433 Å, b = 5.433 Å, c = 5.568 Å
α = 90.00°, β = 90.00°, γ = 90.00°
Positions (direct):
La (0.000, 0.000, 0.000)
Ga (0.500, 0.500, 0.500)
P (0.000, 0.000, 0.500)
S (0.000, 0.500, 0.000)
S (0.500, 0.000, 0.000)

## Properties
N(E_F) in states/eV/atom: 1.09
Space-group type: No. 123
Total energy in eV per cell: -22.76
Formation energy without anion corrections in eV per formula unit: 0.49


Record 7
The following is a DFT calculation (PBEsol) of crystalline La2Ga2Pb at its relaxed geometry.

a = 7.542 Å, b = 7.542 Å, c = 4.579 Å
α = 90.00°, β = 90.00°, γ = 90.00°
Positions (direct):
La (0.173, 0.327, 0.000)
La (0.327, 0.827, 0.000)
La (0.673, 0.173, 0.000)
La (0.827, 0.673, 0.000)
Ga (0.120, 0.620, 0.500)
Ga (0.380, 0.120, 0.500)
Ga (0.620, 0.880, 0.500)
Ga (0.880, 0.380, 0.500)
Pb (0.000, 0.000, 0.500)
Pb (0.500, 0.500, 0.500)

## Properties
N(E_F) in states/eV/atom: 0.54
DFT formation energy in eV per formula unit: -3.1
Space-group type: No. 127
Total energy in eV per cell: -49.01


Record 8
The following is a DFT calculation (PBEsol) of crystalline LaGa2Pd2 at its relaxed geometry.

a = 4.257 Å, b = 4.257 Å, c = 10.630 Å
α = 90.00°, β = 90.00°, γ = 90.00°
Positions (direct):
La (0.000, 0.000, 0.000)
La (0.500, 0.500, 0.500)
Ga (0.000, 0.500, 0.250)
Ga (0.000, 0.500, 0.750)
Ga (0.500, 0.000, 0.250)
Ga (0.500, 0.000, 0.750)
Pd (0.000, 0.000, 0.376)
Pd (0.000, 0.000, 0.624)
Pd (0.500, 0.500, 0.124)
Pd (0.500, 0.500, 0.876)

## Properties
N(E_F) in states/eV/atom: 0.68
DFT formation energy in eV per formula unit: -3.9
Space-group type: No. 139
Total energy in eV per cell: -55.63


Record 9
The following is a DFT calculation (PBEsol) of crystalline LaGa6Pd at its relaxed geometry.

a = 4.343 Å, b = 4.343 Å, c = 7.849 Å
α = 90.00°, β = 90.00°, γ = 90.00°
Positions (direct):
La (0.000, 0.000, 0.000)
Ga (0.000, 0.500, 0.329)
Ga (0.000, 0.500, 0.671)
Ga (0.500, 0.000, 0.329)
Ga (0.500, 0.000, 0.671)
Ga (0.500, 0.500, 0.153)
Ga (0.500, 0.500, 0.847)
Pd (0.000, 0.000, 0.500)

## Properties
N(E_F) in states/eV/atom: 0.31
DFT formation energy in eV per formula unit: -4.6
Space-group type: No. 123
Total energy in eV per cell: -35.90


Record 10
The following is a DFT calculation (PBEsol) of crystalline LaGa2Pd2 at its relaxed geometry.

a = 4.366 Å, b = 4.366 Å, c = 9.984 Å
α = 90.00°, β = 90.00°, γ = 90.00°
Positions (direct):
La (0.250, 0.250, 0.250)
La (0.750, 0.750, 0.750)
Ga (0.250, 0.250, 0.625)
Ga (0.250, 0.750, 0.000)
Ga (0.750, 0.250, 0.000)
Ga (0.750, 0.750, 0.375)
Pd (0.250, 0.250, 0.872)
Pd (0.250, 0.750, 0.500)
Pd (0.750, 0.250, 0.500)
Pd (0.750, 0.750, 0.128)

## Properties
N(E_F) in states/eV/atom: 0.74
DFT formation energy in eV per formula unit: -4.2
Space-group type: No. 129
Total energy in eV per cell: -56.28


Record 11
The following is a DFT calculation (PBEsol) of crystalline LaPmGa2 at its relaxed geometry.

a = 7.321 Å, b = 7.321 Å, c = 7.321 Å
α = 90.00°, β = 90.00°, γ = 90.00°
Positions (direct):
La (0.000, 0.000, 0.000)
La (0.000, 0.500, 0.500)
La (0.500, 0.000, 0.500)
La (0.500, 0.500, 0.000)
Pm (0.000, 0.000, 0.500)
Pm (0.000, 0.500, 0.000)
Pm (0.500, 0.000, 0.000)
Pm (0.500, 0.500, 0.500)
Ga (0.250, 0.250, 0.250)
Ga (0.250, 0.250, 0.750)
Ga (0.250, 0.750, 0.250)
Ga (0.250, 0.750, 0.750)
Ga (0.750, 0.250, 0.250)
Ga (0.750, 0.250, 0.750)
Ga (0.750, 0.750, 0.250)
Ga (0.750, 0.750, 0.750)

## Properties
N(E_F) in states/eV/atom: 0.57
DFT formation energy in eV per formula unit: -2.3
Space-group type: No. 225
Total energy in eV per cell: -77.90


Record 12
The following is a DFT calculation (PBEsol) of crystalline La2GaPt2 at its relaxed geometry.

a = 7.618 Å, b = 7.618 Å, c = 3.938 Å
α = 90.00°, β = 90.00°, γ = 90.00°
Positions (direct):
La (0.175, 0.325, 0.000)
La (0.325, 0.825, 0.000)
La (0.675, 0.175, 0.000)
La (0.825, 0.675, 0.000)
Ga (0.000, 0.000, 0.500)
Ga (0.500, 0.500, 0.500)
Pt (0.131, 0.631, 0.500)
Pt (0.369, 0.131, 0.500)
Pt (0.631, 0.869, 0.500)
Pt (0.869, 0.369, 0.500)

## Properties
N(E_F) in states/eV/atom: 0.62
DFT formation energy in eV per formula unit: -4.9
Space-group type: No. 127
Total energy in eV per cell: -65.64